Entry 1:
VASP calculation (PBE) on crystalline TePd2Br8 at its relaxed geometry.

Lattice parameters (Å, degrees): 7.3547 7.8576 7.8576 92.26 74.05 74.05
Closest atoms and distances in Å follow each position.
Sites, in units of the cell vectors:
Te 0.0000 0.0000 0.0000  6 Br 2.73-2.77
Pd 0.3891 0.1448 0.1448  4 Br 2.55-2.62
Pd 0.6109 0.8552 0.8552  4 Br 2.55-2.62
Br 0.8137 0.0764 0.7431  1 Pd 2.62, 1 Te 2.73
Br 0.1863 0.2569 0.9236  1 Pd 2.62, 1 Te 2.73
Br 0.6613 0.2341 0.2341  1 Pd 2.55, 1 Te 2.77
Br 0.3387 0.7659 0.7659  1 Pd 2.55, 1 Te 2.77
Br 0.8137 0.7431 0.0764  1 Pd 2.62, 1 Te 2.73
Br 0.1863 0.9236 0.2569  1 Pd 2.62, 1 Te 2.73
Br 0.1754 0.3960 0.3960  1 Pd 2.56, 1 Br 2.67
Br 0.8246 0.6040 0.6040  1 Pd 2.56, 1 Br 2.67

Summary:
crystal system: monoclinic
formation energy (no corrections): -0.11 eV per atom
symmetry: C2/m

Entry 2:
VASP calculation (PBE) on crystalline Te3Pd2Br at its relaxed geometry.

Lattice parameters (Å, degrees): 8.2320 8.2320 6.4666 67.13 67.13 60.99
Closest atoms and distances in Å follow each position.
Sites, in units of the cell vectors:
Te 0.2225 0.7030 0.7859  3 Pd 2.62-2.75
Te 0.7030 0.2225 0.7859  3 Pd 2.62-2.75
Te 0.2125 0.2125 0.7843  3 Pd 2.69, 1 Br 2.98
Te 0.2970 0.7775 0.2141  3 Pd 2.62-2.75
Te 0.7775 0.2970 0.2141  3 Pd 2.62-2.75
Te 0.7875 0.7875 0.2157  3 Pd 2.69, 1 Br 2.98
Pd 0.0000 0.0000 0.0000  6 Te 2.69-2.75
Pd 0.5000 0.0000 0.0000  4 Te 2.69, 2 Br 2.81
Pd 0.5000 0.5000 0.0000  4 Te 2.62
Pd 0.0000 0.5000 0.0000  4 Te 2.69, 2 Br 2.81
Br 0.2320 0.2320 0.3066  2 Pd 2.81, 1 Te 2.98
Br 0.7680 0.7680 0.6934  2 Pd 2.81, 1 Te 2.98

Summary:
crystal system: monoclinic
formation energy (no corrections): -0.24 eV per atom
symmetry: C2/m

Entry 3:
VASP calculation (PBE) on crystalline TePdBr at its relaxed geometry.

Lattice parameters (Å, degrees): 3.8073 5.6617 8.1317 90.00 90.00 90.00
Closest atoms and distances in Å follow each position.
Sites, in units of the cell vectors:
Te 0.2500 0.7501 0.0895  4 Pd 2.63-2.85
Te 0.7500 0.2499 0.9105  4 Pd 2.63-2.85
Pd 0.2500 0.2500 0.1344  2 Br 2.60, 4 Te 2.63-2.85
Pd 0.7500 0.7500 0.8656  2 Br 2.60, 4 Te 2.63-2.85
Br 0.2500 0.7497 0.6486  2 Pd 2.60
Br 0.7500 0.2503 0.3514  2 Pd 2.60

Summary:
crystal system: orthorhombic
formation energy (no corrections): -0.38 eV per atom
symmetry: Pmmn

Entry 4:
VASP calculation (PBE) on crystalline Te6PdBr3 at its relaxed geometry.

Lattice parameters (Å, degrees): 9.0897 9.0897 9.0897 106.39 106.39 106.39
Closest atoms and distances in Å follow each position.
Sites, in units of the cell vectors:
Te 0.9356 0.6690 0.9243  1 Pd 2.74, 2 Te 2.82-3.03
Te 0.0757 0.0644 0.3310  1 Pd 2.74, 2 Te 2.82-3.03
Te 0.1690 0.4355 0.4245  1 Pd 2.73, 2 Te 2.82-3.03
Te 0.3310 0.0757 0.0644  1 Pd 2.74, 2 Te 2.82-3.03
Te 0.4355 0.4245 0.1690  1 Pd 2.73, 2 Te 2.82-3.03
Te 0.5755 0.8310 0.5645  1 Pd 2.73, 2 Te 2.82-3.03
Te 0.4245 0.1690 0.4355  1 Pd 2.73, 2 Te 2.82-3.03
Te 0.5645 0.5755 0.8310  1 Pd 2.73, 2 Te 2.82-3.03
Te 0.6690 0.9243 0.9356  1 Pd 2.74, 2 Te 2.82-3.03
Te 0.8310 0.5645 0.5755  1 Pd 2.73, 2 Te 2.82-3.03
Te 0.9243 0.9356 0.6690  1 Pd 2.74, 2 Te 2.82-3.03
Te 0.0644 0.3310 0.0757  1 Pd 2.74, 2 Te 2.82-3.03
Pd 0.0000 0.0000 0.0000  6 Te 2.74
Pd 0.5000 0.5000 0.5000  6 Te 2.73
Br 0.1616 0.7500 0.3377  4 Te 3.18-3.49
Br 0.3377 0.1616 0.7500  4 Te 3.18-3.49
Br 0.2500 0.6623 0.8384  4 Te 3.18-3.49
Br 0.7500 0.3377 0.1616  4 Te 3.18-3.49
Br 0.6623 0.8384 0.2500  4 Te 3.18-3.49
Br 0.8384 0.2500 0.6623  4 Te 3.18-3.49

Summary:
crystal system: trigonal
formation energy (no corrections): -0.19 eV per atom
symmetry: R-3c

Entry 5:
VASP calculation (PBE) on crystalline Te2PdBr at its relaxed geometry.

Lattice parameters (Å, degrees): 12.5446 12.5446 12.5446 14.56 14.56 14.56
Closest atoms and distances in Å follow each position.
Sites, in units of the cell vectors:
Te 0.9305 0.9305 0.9305  1 Pd 2.59
Te 0.0695 0.0695 0.0695  1 Pd 2.59
Br 0.5000 0.5000 0.5000  6 Br 3.18
Pd 0.0000 0.0000 0.0000  2 Te 2.59

Summary:
crystal system: trigonal
formation energy (no corrections): 0.14 eV per atom
symmetry: R-3m

Entry 6:
VASP calculation (PBE) on crystalline Te6Pd3Br2 at its relaxed geometry.

Lattice parameters (Å, degrees): 7.1673 7.0768 7.6796 85.38 80.84 59.58
Closest atoms and distances in Å follow each position.
Sites, in units of the cell vectors:
Te 0.3604 0.6657 0.8232  3 Pd 2.70-2.76
Te 0.6970 0.0000 0.8309  3 Pd 2.69-2.70
Te 0.0261 0.3343 0.8232  3 Pd 2.70-2.76
Te 0.3030 0.0000 0.1691  3 Pd 2.69-2.70
Te 0.6396 0.3343 0.1768  3 Pd 2.70-2.76
Te 0.9739 0.6657 0.1768  3 Pd 2.70-2.76
Pd 0.0000 0.0000 0.0000  6 Te 2.70-2.71
Pd 0.3331 0.3338 0.0000  6 Te 2.69-2.76
Pd 0.6669 0.6662 0.0000  6 Te 2.69-2.76
Br 0.1686 0.6627 0.5000  2 Te 3.03
Br 0.8314 0.3373 0.5000  2 Te 3.03

Summary:
crystal system: monoclinic
formation energy (no corrections): -0.31 eV per atom
symmetry: C2/m

Entry 7:
VASP calculation (PBE) on crystalline Te2Pd4Br at its relaxed geometry.

Lattice parameters (Å, degrees): 7.4509 7.4488 7.4487 114.62 114.68 99.54
Closest atoms and distances in Å follow each position.
Sites, in units of the cell vectors:
Te 0.5682 0.3751 0.6934  6 Pd 2.62-2.92
Te 0.6817 0.8751 0.3068  6 Pd 2.62-2.92
Te 0.6250 0.4314 0.3064  6 Pd 2.62-2.92
Te 0.1250 0.3184 0.6934  6 Pd 2.62-2.92
Pd 0.8115 0.1682 0.2070  1 Br 2.59, 2 Te 2.62-2.74, 1 Pd 2.82
Pd 0.2890 0.5819 0.1432  1 Br 2.59, 2 Te 2.62-2.74, 1 Pd 2.82
Pd 0.9610 0.6041 0.7928  1 Br 2.59, 2 Te 2.62-2.74, 1 Pd 2.82
Pd 0.8319 0.1889 0.7933  1 Br 2.59, 2 Te 2.62-2.74, 1 Pd 2.82
Pd 0.3956 0.0388 0.2069  1 Br 2.59, 2 Te 2.62-2.74, 1 Pd 2.82
Pd 0.4386 0.1455 0.8567  1 Br 2.59, 2 Te 2.62-2.74, 1 Pd 2.82
Pd 0.4181 0.7113 0.8569  1 Br 2.59, 2 Te 2.62-2.74, 1 Pd 2.82
Pd 0.8543 0.5614 0.1432  1 Br 2.59, 2 Te 2.62-2.74, 1 Pd 2.82
Br 0.2501 0.7501 0.4999  4 Pd 2.59
Br 0.9999 0.9998 0.0000  4 Pd 2.59

Summary:
crystal system: tetragonal
formation energy (no corrections): -0.21 eV per atom
symmetry: I4_122

Entry 8:
VASP calculation (PBE) on crystalline Te2PdBr at its relaxed geometry.

Lattice parameters (Å, degrees): 4.0901 11.7762 5.1903 88.97 90.00 80.32
Closest atoms and distances in Å follow each position.
Sites, in units of the cell vectors:
Te 0.8750 0.4872 0.4986  3 Pd 2.67-2.71
Te 0.5263 0.1746 0.6548  2 Pd 2.73, 1 Te 2.82
Te 0.7900 0.6629 0.0053  1 Br 2.63, 2 Pd 2.70
Te 0.4482 0.3362 0.0545  3 Pd 2.72, 1 Te 2.82
Pd 0.9837 0.2627 0.3630  1 Br 2.56, 5 Te 2.71-2.73
Pd 0.3477 0.5436 0.8016  5 Te 2.67-2.72
Br 0.0810 0.0618 0.1659  1 Pd 2.56
Br 0.7098 0.8305 0.6565  1 Te 2.63

Summary:
crystal system: triclinic
formation energy (no corrections): -0.28 eV per atom
symmetry: P1

Entry 9:
VASP calculation (PBE) on crystalline Te2PdBr at its relaxed geometry.

Lattice parameters (Å, degrees): 4.1352 8.8996 4.1365 109.65 118.77 69.99
Closest atoms and distances in Å follow each position.
Sites, in units of the cell vectors:
Te 0.3170 0.1542 0.5288  3 Pd 2.71-2.75, 1 Br 2.85
Te 0.8110 0.8349 0.0415  3 Pd 2.71-2.75, 1 Br 2.85
Pd 0.0640 0.9946 0.7852  6 Te 2.71-2.75
Br 0.0642 0.4946 0.7852  2 Te 2.85

Summary:
crystal system: triclinic
formation energy (no corrections): -0.31 eV per atom
symmetry: P-1

Entry 10:
VASP calculation (PBE) on crystalline TiPdBr6 at its relaxed geometry.

Lattice parameters (Å, degrees): 8.9729 7.4842 6.9463 57.40 68.59 47.34
Closest atoms and distances in Å follow each position.
Sites, in units of the cell vectors:
Ti 0.5000 0.5000 0.0000  6 Br 2.44-2.59
Pd 0.0000 0.0000 0.0000  4 Br 2.48
Br 0.7411 0.3184 0.6981  1 Pd 2.48, 1 Ti 2.59
Br 0.7411 0.0165 0.3019  1 Pd 2.48, 1 Ti 2.59
Br 0.2589 0.9835 0.6981  1 Pd 2.48, 1 Ti 2.59
Br 0.2589 0.6816 0.3019  1 Pd 2.48, 1 Ti 2.59
Br 0.6944 0.6191 0.0000  1 Ti 2.44
Br 0.3056 0.3809 0.0000  1 Ti 2.44

Summary:
crystal system: monoclinic
formation energy (no corrections): -0.79 eV per atom
symmetry: C2/m

Entry 11:
VASP calculation (PBE) on crystalline Ti2PdBr8 at its relaxed geometry.

Lattice parameters (Å, degrees): 6.7261 8.0757 8.0757 80.19 93.27 93.27
Closest atoms and distances in Å follow each position.
Sites, in units of the cell vectors:
Ti 0.6838 0.8131 0.8131  4 Br 2.35-2.36
Ti 0.3162 0.1869 0.1869  4 Br 2.35-2.36
Pd 0.0000 0.0000 0.0000  4 Br 2.73, 2 Ti 3.02
Br 0.1887 0.3098 0.9178  1 Ti 2.36
Br 0.8113 0.0822 0.6902  1 Ti 2.36
Br 0.3382 0.8323 0.8323  1 Ti 2.35
Br 0.6618 0.1677 0.1677  1 Ti 2.35
Br 0.1887 0.9178 0.3098  1 Ti 2.36
Br 0.8113 0.6902 0.0822  1 Ti 2.36
Br 0.7384 0.6276 0.6276  1 Ti 2.35
Br 0.2616 0.3724 0.3724  1 Ti 2.35

Summary:
crystal system: monoclinic
formation energy (no corrections): -0.98 eV per atom
symmetry: C2/m

Entry 12:
VASP calculation (PBE) on crystalline Ti3PdBr at its relaxed geometry.

Lattice parameters (Å, degrees): 4.8898 4.8898 4.8898 90.00 90.00 90.00
Closest atoms and distances in Å follow each position.
Sites, in units of the cell vectors:
Br 0.5000 0.5000 0.5000  12 Ti 3.46
Pd 0.0000 0.0000 0.0000  6 Ti 2.44
Ti 0.0000 0.5000 0.0000  2 Pd 2.44
Ti 0.0000 0.0000 0.5000  2 Pd 2.44
Ti 0.5000 0.0000 0.0000  2 Pd 2.44

Summary:
crystal system: cubic
formation energy (no corrections): 0.51 eV per atom
symmetry: Pm-3m

Entry 13:
VASP calculation (PBE) on crystalline Ti3PdBr at its relaxed geometry.

Lattice parameters (Å, degrees): 4.6108 4.6108 4.6108 90.00 90.00 90.00
Closest atoms and distances in Å follow each position.
Sites, in units of the cell vectors:
Br 0.0000 0.0000 0.0000  6 Ti 2.31
Pd 0.5000 0.5000 0.5000  12 Ti 3.26
Ti 0.0000 0.5000 0.0000  2 Br 2.31
Ti 0.0000 0.0000 0.5000  2 Br 2.31
Ti 0.5000 0.0000 0.0000  2 Br 2.31

Summary:
crystal system: cubic
formation energy (no corrections): 0.47 eV per atom
symmetry: Pm-3m

Entry 14:
VASP calculation (PBE) on crystalline TiTlPdBr6 at its relaxed geometry.

Lattice parameters (Å, degrees): 6.8126 7.5678 7.0410 97.27 94.03 56.27
Closest atoms and distances in Å follow each position.
Sites, in units of the cell vectors:
Ti 0.3568 0.3215 0.5000  6 Br 2.45-2.66
Tl 0.0672 0.9664 0.0004  6 Br 3.30-3.41
Pd 0.6588 0.6708 0.5001  4 Br 2.54-2.56
Br 0.9942 0.3822 0.2823  1 Pd 2.54, 1 Ti 2.66
Br 0.3441 0.0373 0.6619  1 Pd 2.56, 1 Ti 2.60
Br 0.6202 0.3333 0.7485  1 Ti 2.45
Br 0.9945 0.6237 0.7178  1 Pd 2.54, 1 Ti 2.66
Br 0.3444 0.6184 0.3380  1 Pd 2.56, 1 Ti 2.60
Br 0.6195 0.0465 0.2509  1 Ti 2.45

Summary:
crystal system: monoclinic
formation energy (no corrections): -0.80 eV per atom
symmetry: C2

Entry 15:
VASP calculation (PBE) on crystalline TlPdBr at its relaxed geometry.

Lattice parameters (Å, degrees): 3.7920 3.8560 11.7516 90.00 90.00 119.45
Closest atoms and distances in Å follow each position.
Sites, in units of the cell vectors:
Pd 0.4077 0.8155 0.0000  2 Br 2.60
Pd 0.4544 0.9089 0.5000  6 Tl 2.84-2.85
Tl 0.7828 0.5656 0.3474  3 Pd 2.84-2.85
Tl 0.7828 0.5656 0.6526  3 Pd 2.84-2.85
Br 0.1194 0.2388 0.8518  1 Pd 2.60
Br 0.1194 0.2388 0.1482  1 Pd 2.60

Summary:
crystal system: orthorhombic
formation energy (no corrections): -0.08 eV per atom
symmetry: Amm2

Entry 16:
VASP calculation (PBE) on crystalline Tl2PdBr2 at its relaxed geometry.

Lattice parameters (Å, degrees): 6.5003 6.5003 6.2476 58.65 58.65 90.00
Closest atoms and distances in Å follow each position.
Sites, in units of the cell vectors:
Tl 0.7500 0.2500 0.5000  4 Br 3.27
Tl 0.2500 0.7500 0.5000  4 Br 3.27
Br 0.2886 0.2886 0.4229  1 Pd 2.44
Br 0.7114 0.7114 0.5771  1 Pd 2.44
Pd 0.0000 0.0000 0.0000  2 Br 2.44

Summary:
crystal system: tetragonal
formation energy (no corrections): -0.38 eV per atom
symmetry: I4/mmm

Entry 17:
VASP calculation (PBE) on crystalline Tl2Pd2Br at its relaxed geometry.

Lattice parameters (Å, degrees): 3.8604 3.8604 8.8483 77.40 77.40 90.00
Closest atoms and distances in Å follow each position.
Sites, in units of the cell vectors:
Tl 0.3816 0.3816 0.2368  4 Pd 2.94
Tl 0.6184 0.6184 0.7632  4 Pd 2.94
Br 0.0000 0.0000 0.0000  8 Tl 3.38
Pd 0.7500 0.2500 0.5000  4 Pd 2.73, 4 Tl 2.94
Pd 0.2500 0.7500 0.5000  4 Pd 2.73, 4 Tl 2.94

Summary:
crystal system: tetragonal
formation energy (no corrections): -0.13 eV per atom
symmetry: I4/mmm

Entry 18:
VASP calculation (PBE) on crystalline Tl2PdBr4 at its relaxed geometry.

Lattice parameters (Å, degrees): 5.2903 5.2903 8.9040 72.72 72.72 90.00
Closest atoms and distances in Å follow each position.
Sites, in units of the cell vectors:
Tl 0.6370 0.6370 0.7260  5 Br 3.30-3.45
Tl 0.3630 0.3630 0.2740  5 Br 3.30-3.45
Br 0.8412 0.8412 0.3175  1 Pd 2.57
Br 0.1588 0.1588 0.6825  1 Pd 2.57
Br 0.0000 0.5000 0.0000  2 Pd 2.65
Br 0.5000 0.0000 0.0000  2 Pd 2.65
Pd 0.0000 0.0000 0.0000  6 Br 2.57-2.65

Summary:
crystal system: tetragonal
formation energy (no corrections): -0.62 eV per atom
symmetry: I4/mmm

Entry 19:
VASP calculation (PBE) on crystalline Tl4PdBr8 at its relaxed geometry.

Lattice parameters (Å, degrees): 7.9382 8.5116 8.4801 77.17 62.08 61.68
Closest atoms and distances in Å follow each position.
Sites, in units of the cell vectors:
Tl 0.0000 0.5000 0.0000  8 Br 3.31-3.33
Tl 0.5000 0.5000 0.0000  8 Br 3.31-3.33
Tl 0.5000 0.0000 0.5000  8 Br 3.31-3.33
Tl 0.0000 0.0000 0.5000  8 Br 3.31-3.33
Pd 0.0000 0.0000 0.0000  4 Br 2.45
Br 0.2305 0.7693 0.7692  1 Pd 2.45
Br 0.7695 0.2307 0.2308  1 Pd 2.45
Br 0.9997 0.7692 0.2308  1 Pd 2.45
Br 0.0003 0.2308 0.7692  1 Pd 2.45
Br 0.2298 0.2698 0.2698  4 Tl 3.31-3.33
Br 0.7702 0.7302 0.7302  4 Tl 3.31-3.33
Br 0.4996 0.2698 0.7302  4 Tl 3.31-3.33
Br 0.5004 0.7302 0.2698  4 Tl 3.31-3.33

Summary:
crystal system: monoclinic
formation energy (no corrections): -0.51 eV per atom
symmetry: C2/m

Entry 20:
VASP calculation (PBE) on crystalline TlPd3Br at its relaxed geometry.

Lattice parameters (Å, degrees): 4.8578 4.8578 4.8578 90.00 90.00 90.00
Closest atoms and distances in Å follow each position.
Sites, in units of the cell vectors:
Tl 0.5000 0.5000 0.5000  12 Pd 3.44
Br 0.0000 0.0000 0.0000  6 Pd 2.43
Pd 0.0000 0.5000 0.0000  2 Br 2.43
Pd 0.0000 0.0000 0.5000  2 Br 2.43
Pd 0.5000 0.0000 0.0000  2 Br 2.43

Summary:
crystal system: cubic
formation energy (no corrections): 0.33 eV per atom
symmetry: Pm-3m

Number 1: uncorrected energy -28.16 eV/cell. Number 2: uncorrected energy -45.87 eV/cell. Number 3: uncorrected energy -22.30 eV/cell. Number 4: uncorrected energy -61.85 eV/cell. Number 5: uncorrected energy -12.57 eV/cell. Number 6: uncorrected energy -41.20 eV/cell. Number 7: uncorrected energy -60.41 eV/cell. Number 8: uncorrected energy -28.57 eV/cell. Number 9: uncorrected energy -14.38 eV/cell. Number 10: uncorrected energy -29.46 eV/cell. Number 11: uncorrected energy -45.18 eV/cell. Number 12: uncorrected energy -27.98 eV/cell. Number 13: uncorrected energy -28.22 eV/cell. Number 14: uncorrected energy -32.68 eV/cell. Number 15: uncorrected energy -18.96 eV/cell. Number 16: uncorrected energy -15.15 eV/cell. Number 17: uncorrected energy -17.45 eV/cell. Number 18: uncorrected energy -20.94 eV/cell. Number 19: uncorrected energy -34.73 eV/cell. Number 20: uncorrected energy -17.95 eV/cell.